No. 1
A plane-wave DFT calculation with PBE-GGA was carried out for a geometry-optimized Rb3Ac3CrSe8 structure.

Cell: 8.808 8.807 9.659 Å, 117.12 90.00 120.00°
Sites, in units of the cell vectors:
Ac1 0.500 0.500 0.500
Ac2 0.000 0.500 0.500
Ac3 0.500 0.000 0.500
Se1 0.796 0.593 0.317
Se2 0.204 0.407 0.683
Se3 0.263 0.525 0.287
Se4 0.797 0.020 0.317
Se5 0.203 0.980 0.683
Se6 0.777 0.980 0.683
Se7 0.737 0.475 0.713
Se8 0.223 0.020 0.317
Rb1 0.000 0.500 0.000
Rb2 0.000 0.000 0.000
Rb3 0.500 0.500 0.000
Cr1 0.000 0.000 0.500

Total magnetic moment (μB per cell): 1.91
SG: No. 166
Crystal system: trigonal
Formation energy from raw total energies (meV/atom): -1410

No. 2
A plane-wave DFT calculation with PBE-GGA was carried out for a geometry-optimized NaB3Br structure.

Cell: 4.777 4.777 4.777 Å, 90.00 90.00 90.00°
Sites, in units of the cell vectors:
Br1 0.500 0.500 0.500
B1 0.500 0.000 0.000
B2 0.000 0.500 0.000
B3 0.000 0.000 0.500
Na1 0.000 0.000 0.000

Relative energy among the computed polymorphs (meV per atom): 302.5
Total magnetic moment (μB per cell): 0.00
SG: No. 221
Crystal system: cubic
Formation energy from raw total energies (meV/atom): 2695

No. 3
A plane-wave DFT calculation with PBE-GGA was carried out for a geometry-optimized SrLa2AgRu structure.

Cell: 5.326 5.326 6.062 Å, 90.00 90.00 90.00°
Sites, in units of the cell vectors:
Ru1 0.000 0.000 0.000
Ag1 0.500 0.500 0.500
La1 0.000 0.500 0.000
La2 0.500 0.000 0.000
Sr1 0.000 0.000 0.500

Relative energy among the computed polymorphs (meV per atom): 0.0
Total magnetic moment (μB per cell): 0.00
DFT formation energy (eV/atom): -0.08
SG: No. 123
Crystal system: tetragonal